DFT (PBE with a Hubbard U) results for crystalline NdHo2MoO8 at its relaxed geometry.

Values from the calculation:
For the total energy, the calculation gives -92.5 eV for the cell shown. The total magnetic moment is 0.92 μB per cell. The density of states at the Fermi level is 4.8 states/eV/cell. As for the space group: Cmmm, No. 65.

Unit cell a=5.044 b=5.044 c=6.937 alpha=90.00 beta=90.00 gamma=90.42
Element x y z (fractional)
Nd (0.000, 0.000, 0.000)
Ho (0.500, 0.500, 0.258)
Ho (0.500, 0.500, 0.742)
Mo (0.000, 0.000, 0.500)
O (0.185, 0.815, 0.294)
O (0.185, 0.815, 0.706)
O (0.277, 0.277, 0.500)
O (0.318, 0.318, 0.000)
O (0.682, 0.682, 0.000)
O (0.723, 0.723, 0.500)
O (0.815, 0.185, 0.294)
O (0.815, 0.185, 0.706)

DFT (PBE with a Hubbard U) results for crystalline Ho2Mo2O7 at its relaxed geometry.

Values from the calculation:
For the total energy, the calculation gives -172.7 eV for the cell shown. The total magnetic moment is 8.00 μB per cell. The density of states at the Fermi level is 4.2 states/eV/cell. As for the space group: Fd-3m, No. 227.

Unit cell a=7.338 b=7.338 c=7.338 alpha=60.00 beta=60.00 gamma=60.00
Element x y z (fractional)
Ho (0.000, 0.000, 0.000)
Ho (0.000, 0.000, 0.500)
Ho (0.000, 0.500, 0.000)
Ho (0.500, 0.000, 0.000)
Mo (0.000, 0.500, 0.500)
Mo (0.500, 0.000, 0.500)
Mo (0.500, 0.500, 0.000)
Mo (0.500, 0.500, 0.500)
O (0.125, 0.125, 0.125)
O (0.160, 0.160, 0.590)
O (0.160, 0.590, 0.160)
O (0.160, 0.590, 0.590)
O (0.410, 0.410, 0.840)
O (0.410, 0.840, 0.410)
O (0.410, 0.840, 0.840)
O (0.590, 0.160, 0.160)
O (0.590, 0.160, 0.590)
O (0.590, 0.590, 0.160)
O (0.840, 0.410, 0.410)
O (0.840, 0.410, 0.840)
O (0.840, 0.840, 0.410)
O (0.875, 0.875, 0.875)

DFT (PBE with a Hubbard U) results for crystalline Ho6MoO12 at its relaxed geometry.

Values from the calculation:
For the total energy, the calculation gives -155.6 eV for the cell shown. The total magnetic moment is 0.00 μB per cell. The density of states at the Fermi level is 0.0 states/eV/cell. As for the space group: R-3, No. 148.

Unit cell a=6.452 b=6.452 c=6.452 alpha=98.64 beta=98.64 gamma=98.64
Element x y z (fractional)
Ho (0.112, 0.816, 0.644)
Ho (0.184, 0.356, 0.888)
Ho (0.356, 0.888, 0.184)
Ho (0.644, 0.112, 0.816)
Ho (0.816, 0.644, 0.112)
Ho (0.888, 0.184, 0.356)
Mo (0.500, 0.500, 0.500)
O (0.068, 0.910, 0.323)
O (0.090, 0.677, 0.932)
O (0.202, 0.422, 0.535)
O (0.323, 0.068, 0.910)
O (0.422, 0.535, 0.202)
O (0.465, 0.798, 0.578)
O (0.535, 0.202, 0.422)
O (0.578, 0.465, 0.798)
O (0.677, 0.932, 0.090)
O (0.798, 0.578, 0.465)
O (0.910, 0.323, 0.068)
O (0.932, 0.090, 0.677)

DFT (PBE with a Hubbard U) results for crystalline HoMo2O6 at its relaxed geometry.

Values from the calculation:
For the total energy, the calculation gives -135.6 eV for the cell shown. The total magnetic moment is 6.00 μB per cell. For the distance to the lowest polymorph of the same formula, the calculation gives 0.57 eV per formula unit. As for the space group: Pm, No. 6.

Unit cell a=5.371 b=7.811 c=5.641 alpha=90.00 beta=90.05 gamma=90.00
Element x y z (fractional)
Ho (0.000, 0.000, 0.000)
Ho (0.485, 0.500, 0.353)
Mo (0.006, 0.250, 0.434)
Mo (0.006, 0.750, 0.434)
Mo (0.512, 0.251, 0.910)
Mo (0.512, 0.749, 0.910)
O (0.103, 0.000, 0.386)
O (0.219, 0.295, 0.155)
O (0.219, 0.705, 0.155)
O (0.331, 0.309, 0.613)
O (0.331, 0.691, 0.613)
O (0.400, 0.000, 0.901)
O (0.595, 0.500, 0.965)
O (0.731, 0.202, 0.204)
O (0.731, 0.798, 0.204)
O (0.847, 0.192, 0.724)
O (0.847, 0.808, 0.724)
O (0.888, 0.500, 0.448)